Entry 1:
Material: AlAu
Method: DFT, PBE-GGA
State: relaxed

Calculated values
Space-group type ... Fddd (70)

Lattice parameters (Å, degrees): 6.5662 6.3795 5.2604 67.90 64.18 47.92
With the nearest neighbours (Å) after each atom.
Element x y z (fractional)
Al (0.0711, 0.6789, 0.0711)  6 Au 2.61-2.76
Al (0.3211, 0.9289, 0.3211)  6 Au 2.61-2.76
Al (0.6789, 0.0711, 0.6789)  6 Au 2.61-2.76
Al (0.9289, 0.3211, 0.9289)  6 Au 2.61-2.76
Au (0.1729, 0.5771, 0.5771)  6 Al 2.61-2.76, 1 Au 2.87
Au (0.4229, 0.8271, 0.8271)  6 Al 2.61-2.76, 1 Au 2.87
Au (0.5771, 0.1729, 0.1729)  6 Al 2.61-2.76, 1 Au 2.87
Au (0.8271, 0.4229, 0.4229)  6 Al 2.61-2.76, 1 Au 2.87

Entry 2:
Material: GeBi3P
Method: DFT, PBE-GGA
State: relaxed

Calculated values
Space-group type ... Pm-3m (221)

Lattice parameters (Å, degrees): 5.4111 5.4111 5.4111 90.00 90.00 90.00
With the nearest neighbours (Å) after each atom.
Element x y z (fractional)
Ge (0.0000, 0.0000, 0.0000)  12 Bi 3.83
Bi (0.0000, 0.5000, 0.5000)  2 P 2.71
Bi (0.5000, 0.0000, 0.5000)  2 P 2.71
Bi (0.5000, 0.5000, 0.0000)  2 P 2.71
P (0.5000, 0.5000, 0.5000)  6 Bi 2.71

In the order shown, the computed ΔE_f values come out to -0.63, 3.22 eV/f.u..